## NaSrAg2Cl6 (PBE-GGA)

Data for NaSrAg2Cl6 after structural relaxation.

- space-group type = P1, No. 1
- uncorrected energy (eV per atom) = -3.266

Unit cell a=6.981 b=6.988 c=7.435 alpha=89.99 beta=118.05 gamma=120.09
Positions (direct):
Ag 0.609 0.804 0.399
Ag 0.611 0.305 0.903
Na 0.006 0.003 0.994
Cl 0.514 0.941 0.670
Cl 0.504 0.069 0.166
Cl 0.113 0.435 0.168
Cl 0.112 0.169 0.669
Cl 0.743 0.571 0.671
Cl 0.748 0.677 0.168
Sr 0.005 0.502 0.494